Compound: BeCrP2O
Source: Alexandria
Functional: GGA+U
Structure: relaxed

Distance to the lowest polymorph of the same formula = 55.8 kJ per mole of atoms
Magnetization = 0.241 μB per atom
Theoretical density = 2968 kg/m3
VASP energy = -24.7 eV/cell

a b c (Å): 4.7348 4.7348 3.4678
angles (deg): 90.00 90.00 90.00
Space group P4/mmm (No. 123)
Asymmetric unit:
Be (0.0000, 0.0000, 0.0000) [1 per cell]
Cr (0.5000, 0.5000, 0.5000) [1 per cell]
P (0.0000, 0.5000, 0.5000) [2 per cell]
O (0.5000, 0.5000, 0.0000) [1 per cell]

---

Compound: PaBe2CrO8
Source: Alexandria
Functional: GGA+U
Structure: relaxed

Magnetization = 0.084 μB per atom
Theoretical density = 5226 kg/m3
VASP energy = -86.3 eV/cell

a b c (Å): 5.1061 5.1061 6.0375
angles (deg): 90.00 90.00 120.00
Space group P-3m1 (No. 164)
Asymmetric unit:
Pa (0.0000, 0.0000, 0.0000) [1 per cell]
Be (0.3333, 0.6667, 0.2214) [2 per cell]
Cr (0.0000, 0.0000, 0.5000) [1 per cell]
O (0.1601, 0.3203, 0.2930) [6 per cell]
O (0.3333, 0.6667, 0.9532) [2 per cell]

---

Compound: PaBeCr2O8
Source: Alexandria
Functional: GGA+U
Structure: relaxed

Magnetization = 0.250 μB per atom
Theoretical density = 5885 kg/m3
VASP energy = -184.8 eV/cell

a b c (Å): 6.9927 6.3726 5.9783
angles (deg): 90.00 90.17 90.00
Space group C2/m (No. 12)
Asymmetric unit:
Pa (0.0000, 0.0000, 0.0000) [2 per cell]
Be (0.0000, 0.0000, 0.5000) [2 per cell]
Cr (0.0000, 0.5000, 0.2636) [4 per cell]
O (0.0000, 0.1951, 0.2870) [8 per cell]
O (0.1755, 0.5000, 0.9994) [4 per cell]
O (0.1791, 0.5000, 0.4990) [4 per cell]